Run w
Compound: TlCuB3
Source: the Alexandria database
Functional: PBE-GGA
Structure: relaxed

Results
DOS at the Fermi energy: 0.3888 states/eV/atom
magnetic moment: 0.00 μB per atom

Lattice parameters (Å, degrees): 4.101 4.101 4.101 90.00 90.00 90.00
Fractional coordinates of all 5 atoms:
Tl  0.500  0.500  0.500
B  0.000  0.500  0.000
B  0.000  0.000  0.500
B  0.500  0.000  0.000
Cu  0.000  0.000  0.000


Run x
Compound: TlCuB3
Source: the Alexandria database
Functional: PBE-GGA
Structure: relaxed

Results
DOS at the Fermi energy: 0.8594 states/eV/atom
magnetic moment: 0.00 μB per atom

Lattice parameters (Å, degrees): 4.539 4.539 4.539 90.00 90.00 90.00
Fractional coordinates of all 5 atoms:
Tl  0.000  0.000  0.000
B  0.000  0.500  0.000
B  0.000  0.000  0.500
B  0.500  0.000  0.000
Cu  0.500  0.500  0.500


Order from most stable to least stable according to the calculation: run w, run x


Run w
Compound: TlCu3B
Source: the Alexandria database
Functional: PBE-GGA
Structure: relaxed

Results
DOS at the Fermi energy: 0.4856 states/eV/atom
magnetic moment: 0.00 μB per atom

Lattice parameters (Å, degrees): 4.128 4.128 4.128 90.00 90.00 90.00
Fractional coordinates of all 5 atoms:
Tl  0.500  0.500  0.500
B  0.000  0.000  0.000
Cu  0.000  0.500  0.000
Cu  0.000  0.000  0.500
Cu  0.500  0.000  0.000


Run x
Compound: TlCu3B
Source: the Alexandria database
Functional: PBE-GGA
Structure: relaxed

Results
DOS at the Fermi energy: 0.5091 states/eV/atom
magnetic moment: 0.00 μB per atom

Lattice parameters (Å, degrees): 4.898 4.898 4.898 90.00 90.00 90.00
Fractional coordinates of all 5 atoms:
Tl  0.000  0.000  0.000
B  0.500  0.500  0.500
Cu  0.000  0.500  0.000
Cu  0.000  0.000  0.500
Cu  0.500  0.000  0.000


Order from most stable to least stable according to the calculation: run w, run x


Run w
Compound: VCuB2
Source: the Alexandria database
Functional: PBE-GGA
Structure: relaxed

Results
DOS at the Fermi energy: 0.9504 states/eV/atom
magnetic moment: 0.10 μB per atom

Lattice parameters (Å, degrees): 3.718 3.718 3.718 60.00 60.00 60.00
Last column: magnetic moment on the atom in μB.
Fractional coordinates of all 4 atoms:
B  0.250  0.250  0.250  0.01
B  0.750  0.750  0.750  0.01
Cu  0.500  0.500  0.500  0.00
V  0.000  0.000  0.000  0.33


Run x
Compound: VCuB2
Source: the Alexandria database
Functional: PBE-GGA
Structure: relaxed

Results
DOS at the Fermi energy: 0.6739 states/eV/atom
magnetic moment: 0.41 μB per atom

Lattice parameters (Å, degrees): 3.516 3.516 7.440 76.33 76.33 90.00
Last column: magnetic moment on the atom in μB.
Fractional coordinates of all 8 atoms:
B  0.875  0.125  0.250  -0.02
B  0.875  0.625  0.250  -0.02
B  0.375  0.125  0.750  -0.02
B  0.875  0.125  0.750  -0.02
Cu  0.000  0.000  0.000  0.05
Cu  0.750  0.250  0.500  0.05
V  0.500  0.500  0.000  1.46
V  0.250  0.750  0.500  1.46


Order from most stable to least stable according to the calculation: run w, run x


Run w
Compound: V3CuB
Source: the Alexandria database
Functional: PBE-GGA
Structure: relaxed

Results
DOS at the Fermi energy: 0.8640 states/eV/atom
magnetic moment: 0.20 μB per atom

Lattice parameters (Å, degrees): 4.012 4.012 4.012 90.00 90.00 90.00
Last column: magnetic moment on the atom in μB.
Fractional coordinates of all 5 atoms:
B  0.000  0.000  0.000  -0.02
Cu  0.500  0.500  0.500  0.04
V  0.000  0.500  0.000  0.30
V  0.000  0.000  0.500  0.30
V  0.500  0.000  0.000  0.30


Run x
Compound: V3CuB
Source: the Alexandria database
Functional: PBE-GGA
Structure: relaxed

Results
DOS at the Fermi energy: 1.2899 states/eV/atom
magnetic moment: 0.23 μB per atom

Lattice parameters (Å, degrees): 4.300 4.300 4.300 90.00 90.00 90.00
Last column: magnetic moment on the atom in μB.
Fractional coordinates of all 5 atoms:
B  0.500  0.500  0.500  -0.04
Cu  0.000  0.000  0.000  0.07
V  0.000  0.500  0.000  0.34
V  0.000  0.000  0.500  0.34
V  0.500  0.000  0.000  0.34


Order from most stable to least stable according to the calculation: run w, run x


Run w
Compound: CuB2W
Source: the Alexandria database
Functional: PBE-GGA
Structure: relaxed

Results
DOS at the Fermi energy: 0.6689 states/eV/atom
magnetic moment: 0.00 μB per atom

Lattice parameters (Å, degrees): 3.622 3.622 7.248 75.53 75.53 90.00
Fractional coordinates of all 8 atoms:
B  0.503  0.125  0.250
B  0.247  0.625  0.250
B  0.375  0.497  0.750
B  0.875  0.753  0.750
Cu  0.500  0.500  0.000
Cu  0.250  0.750  0.500
W  0.000  0.000  0.000
W  0.750  0.250  0.500


Run x
Compound: CuB2W
Source: the Alexandria database
Functional: PBE-GGA
Structure: relaxed

Results
DOS at the Fermi energy: 0.5174 states/eV/atom
magnetic moment: 0.00 μB per atom

Lattice parameters (Å, degrees): 3.843 3.843 3.843 60.00 60.00 60.00
Fractional coordinates of all 4 atoms:
B  0.250  0.250  0.250
B  0.750  0.750  0.750
Cu  0.000  0.000  0.000
W  0.500  0.500  0.500


Order from most stable to least stable according to the calculation: run x, run w


Run w
Compound: Y2Cu2B
Source: the Alexandria database
Functional: PBE-GGA
Structure: relaxed

Results
DOS at the Fermi energy: 0.7437 states/eV/atom
magnetic moment: 0.00 μB per atom

Lattice parameters (Å, degrees): 3.324 3.324 8.574 78.82 78.82 90.00
Fractional coordinates of all 5 atoms:
Y  0.406  0.406  0.188
Y  0.594  0.594  0.812
B  0.000  0.000  0.000
Cu  0.750  0.250  0.500
Cu  0.250  0.750  0.500


Run x
Compound: Y2Cu2B
Source: the Alexandria database
Functional: PBE-GGA
Structure: relaxed

Results
DOS at the Fermi energy: 1.3906 states/eV/atom
magnetic moment: 0.00 μB per atom

Lattice parameters (Å, degrees): 7.382 7.382 3.795 90.00 90.00 90.00
Fractional coordinates of all 10 atoms:
Y  0.319  0.819  0.000
Y  0.819  0.681  0.000
Y  0.681  0.181  0.000
Y  0.181  0.319  0.000
B  0.000  0.000  0.000
B  0.500  0.500  0.000
Cu  0.116  0.616  0.500
Cu  0.616  0.884  0.500
Cu  0.884  0.384  0.500
Cu  0.384  0.116  0.500


Order from most stable to least stable according to the calculation: run w, run x


Run w
Compound: YCuB2
Source: the Alexandria database
Functional: PBE-GGA
Structure: relaxed

Results
DOS at the Fermi energy: 0.2682 states/eV/atom
magnetic moment: 0.00 μB per atom

Lattice parameters (Å, degrees): 3.963 3.963 7.496 74.67 74.67 90.00
Fractional coordinates of all 8 atoms:
Y  0.000  0.000  0.000
Y  0.750  0.250  0.500
B  0.375  0.125  0.250
B  0.375  0.625  0.250
B  0.375  0.625  0.750
B  0.875  0.625  0.750
Cu  0.500  0.500  0.000
Cu  0.250  0.750  0.500


Run x
Compound: YCuB2
Source: the Alexandria database
Functional: PBE-GGA
Structure: relaxed

Results
DOS at the Fermi energy: 0.2086 states/eV/atom
magnetic moment: 0.00 μB per atom

Lattice parameters (Å, degrees): 4.168 4.168 4.168 60.00 60.00 60.00
Fractional coordinates of all 4 atoms:
Y  0.500  0.500  0.500
B  0.250  0.250  0.250
B  0.750  0.750  0.750
Cu  0.000  0.000  0.000


Order from most stable to least stable according to the calculation: run w, run x


Run w
Compound: Zn3CuB
Source: the Alexandria database
Functional: PBE-GGA
Structure: relaxed

Results
DOS at the Fermi energy: 0.2804 states/eV/atom
magnetic moment: 0.00 μB per atom

Lattice parameters (Å, degrees): 4.134 4.134 4.134 90.00 90.00 90.00
Fractional coordinates of all 5 atoms:
Zn  0.000  0.500  0.000
Zn  0.000  0.000  0.500
Zn  0.500  0.000  0.000
B  0.000  0.000  0.000
Cu  0.500  0.500  0.500


Run x
Compound: Zn3CuB
Source: the Alexandria database
Functional: PBE-GGA
Structure: relaxed

Results
DOS at the Fermi energy: 0.3899 states/eV/atom
magnetic moment: 0.00 μB per atom

Lattice parameters (Å, degrees): 4.547 4.547 4.547 90.00 90.00 90.00
Fractional coordinates of all 5 atoms:
Zn  0.000  0.500  0.000
Zn  0.000  0.000  0.500
Zn  0.500  0.000  0.000
B  0.500  0.500  0.500
Cu  0.000  0.000  0.000


Order from most stable to least stable according to the calculation: run w, run x